Entry a
Density functional theory data (PBE-GGA) for an optimized crystal structure of CaZr2Rh.

Unit cell a=5.0146 b=4.1601 c=4.1601 alpha=90.00 beta=90.00 gamma=90.00
Positions (direct):
Ca 0.5000 0.5000 0.0000
Zr 0.0000 0.5000 0.5000
Zr 0.0000 0.0000 0.0000
Rh 0.5000 0.0000 0.5000

size of the total moment	0.00	μB/f.u.


Entry b
Density functional theory data (PBE-GGA) for an optimized crystal structure of CaZr2Rh.

Unit cell a=4.3777 b=3.2780 c=6.8594 alpha=73.28 beta=90.00 gamma=90.00
Positions (direct):
Zr 0.0000 0.9405 0.9774
Zr 0.5000 0.2830 0.1940
Ca 0.0000 0.5615 0.5218
Rh 0.5000 0.7150 0.8067

size of the total moment	0.00	μB/f.u.


Referenced to the most stable arrangement, the calculated values in meV/atom are entry a 126; entry b 0.


Entry a
Density functional theory data (PBE-GGA) for an optimized crystal structure of CaZr2Rh.

Unit cell a=5.9728 b=5.9728 c=5.9728 alpha=146.19 beta=130.35 gamma=61.42
Positions (direct):
Rh 0.2361 0.7361 0.5000
Ca 0.4653 0.4653 0.0000
Zr 0.7534 0.2534 0.5000
Zr 0.0452 0.0452 0.0000

size of the total moment	0.00	μB/f.u.


Entry b
Density functional theory data (PBE-GGA) for an optimized crystal structure of CaZr2Rh.

Unit cell a=5.7445 b=5.7445 c=5.7445 alpha=137.43 beta=137.43 gamma=61.78
Positions (direct):
Ca 0.5000 0.5000 0.0000
Rh 0.7500 0.2500 0.5000
Zr 0.0000 0.0000 0.0000
Zr 0.2500 0.7500 0.5000

size of the total moment	0.00	μB/f.u.


Referenced to the most stable arrangement, the calculated values in meV/atom are entry a 0; entry b 264.


Entry a
Density functional theory data (PBE-GGA) for an optimized crystal structure of CaZr2Rh.

Unit cell a=5.9300 b=5.9300 c=5.9300 alpha=139.68 beta=139.68 gamma=58.33
Positions (direct):
Zr 0.0000 0.0000 0.0000
Zr 0.5000 0.5000 0.0000
Rh 0.7500 0.2500 0.5000
Ca 0.2500 0.7500 0.5000

size of the total moment	0.00	μB/f.u.


Entry b
Density functional theory data (PBE-GGA) for an optimized crystal structure of CaZr2Rh.

Unit cell a=8.0434 b=8.0434 c=6.4389 alpha=51.35 beta=51.35 gamma=90.00
Positions (direct):
Rh 0.7500 0.2500 0.5000
Rh 0.0000 0.0000 0.0000
Zr 0.0588 0.6250 0.2500
Zr 0.6912 0.1250 0.2500
Zr 0.3750 0.3088 0.7500
Zr 0.8750 0.9412 0.7500
Ca 0.2500 0.7500 0.5000
Ca 0.5000 0.5000 0.0000

size of the total moment	0.00	μB/f.u.


Referenced to the most stable arrangement, the calculated values in meV/atom are entry a 92; entry b 0.


Entry a
Density functional theory data (PBE-GGA) for an optimized crystal structure of Ca5Ru.

Unit cell a=6.4191 b=6.4191 c=5.2537 alpha=90.00 beta=90.00 gamma=120.00
Positions (direct):
Ca 0.0000 0.7107 0.0000
Ca 0.6667 0.3333 0.5000
Ca 0.2893 0.2893 0.0000
Ca 0.7107 0.0000 0.0000
Ca 0.3333 0.6667 0.5000
Ru 0.0000 0.0000 0.5000

size of the total moment	0.00	μB/f.u.


Entry b
Density functional theory data (PBE-GGA) for an optimized crystal structure of Ca5Ru.

Unit cell a=9.4967 b=9.4967 c=5.6143 alpha=90.00 beta=90.00 gamma=156.69
Positions (direct):
Ca 0.6482 0.3518 0.0000
Ca 0.4945 0.5055 0.5000
Ca 0.7383 0.2617 0.5000
Ca 0.3341 0.6659 0.0000
Ca 0.0062 0.9938 0.0000
Ru 0.1120 0.8880 0.5000

size of the total moment	0.00	μB/f.u.


Entry c
Density functional theory data (PBE-GGA) for an optimized crystal structure of Ca5Ru.

Unit cell a=6.7808 b=6.7808 c=9.4170 alpha=67.22 beta=67.22 gamma=31.05
Positions (direct):
Ca 0.9661 0.9661 0.6250
Ca 0.6850 0.6850 0.7692
Ca 0.6450 0.6450 0.1528
Ca 0.9263 0.9263 0.0086
Ca 0.3053 0.3053 0.3888
Ru 0.3056 0.3056 0.8890

size of the total moment	0.00	μB/f.u.


Referenced to the most stable arrangement, the calculated values in meV/atom are entry a 185; entry b 146; entry c 0.


Entry a
Density functional theory data (PBE-GGA) for an optimized crystal structure of Ca4Ru.

Unit cell a=6.4668 b=7.2708 c=8.6943 alpha=114.72 beta=111.83 gamma=90.00
Positions (direct):
Ca 0.6588 0.0169 0.3176
Ca 0.5724 0.3720 0.1448
Ca 0.8412 0.6993 0.6824
Ca 0.4276 0.6280 0.8552
Ca 0.9276 0.2272 0.8552
Ca 0.1588 0.3007 0.3176
Ca 0.0724 0.7728 0.1448
Ca 0.3412 0.9831 0.6824
Ru 0.2500 0.0000 0.0000
Ru 0.7500 0.0000 0.0000

size of the total moment	0.00	μB/f.u.


Entry b
Density functional theory data (PBE-GGA) for an optimized crystal structure of Ca4Ru.

Unit cell a=5.5738 b=5.5738 c=5.5738 alpha=90.00 beta=90.00 gamma=90.00
Positions (direct):
Ca 0.5000 0.5000 0.0000
Ca 0.0000 0.0000 0.0000
Ca 0.5000 0.0000 0.5000
Ca 0.0000 0.5000 0.5000
Ru 0.5000 0.5000 0.5000

size of the total moment	0.00	μB/f.u.


Referenced to the most stable arrangement, the calculated values in meV/atom are entry a 0; entry b 100.


Entry a
Density functional theory data (PBE-GGA) for an optimized crystal structure of CaRuS2.

Unit cell a=7.8742 b=7.8742 c=7.8742 alpha=27.33 beta=27.33 gamma=27.33
Positions (direct):
Ru 0.5000 0.5000 0.5000
S 0.1180 0.1180 0.1180
S 0.8820 0.8820 0.8820
Ca 0.0000 0.0000 0.0000

size of the total moment	0.00	μB/f.u.


Entry b
Density functional theory data (PBE-GGA) for an optimized crystal structure of CaRuS2.

Unit cell a=4.5498 b=4.5498 c=4.5498 alpha=60.00 beta=60.00 gamma=60.00
Positions (direct):
S 0.7500 0.7500 0.7500
S 0.2500 0.2500 0.2500
Ca 0.0000 0.0000 0.0000
Ru 0.5000 0.5000 0.5000

size of the total moment	0.00	μB/f.u.


Referenced to the most stable arrangement, the calculated values in meV/atom are entry a 86; entry b 0.


Entry a
Density functional theory data (PBE-GGA) for an optimized crystal structure of CaRuS3.

Unit cell a=4.7126 b=4.7126 c=4.7126 alpha=90.00 beta=90.00 gamma=90.00
Each line ends with the local moment (μB).
Positions (direct):
Ca 0.5000 0.5000 0.5000  0.02
S 0.5000 0.0000 0.0000  0.34
S 0.0000 0.5000 0.0000  0.14
S 0.0000 0.0000 0.5000  0.05
Ru 0.0000 0.0000 0.0000  1.44

size of the total moment	2.44	μB/f.u.


Entry b
Density functional theory data (PBE-GGA) for an optimized crystal structure of CaRuS3.

Unit cell a=5.1010 b=5.1010 c=5.1010 alpha=90.00 beta=90.00 gamma=90.00
Each line ends with the local moment (μB).
Positions (direct):
S 0.0000 0.0000 0.5000  -0.12
S 0.0000 0.5000 0.0000  -0.12
S 0.5000 0.0000 0.0000  -0.06
Ca 0.0000 0.0000 0.0000  -0.01
Ru 0.5000 0.5000 0.5000  2.97

size of the total moment	2.76	μB/f.u.


Referenced to the most stable arrangement, the calculated values in meV/atom are entry a 0; entry b 1400.


Entry a
Density functional theory data (PBE-GGA) for an optimized crystal structure of CaSbRu3.

Unit cell a=4.8820 b=4.8820 c=4.8820 alpha=90.00 beta=90.00 gamma=90.00
Each line ends with the local moment (μB).
Positions (direct):
Ru 0.5000 0.0000 0.0000  0.73
Ru 0.0000 0.0000 0.5000  1.10
Ru 0.0000 0.5000 0.0000  1.03
Sb 0.0000 0.0000 0.0000  -0.05
Ca 0.5000 0.5000 0.5000  -0.02

size of the total moment	2.79	μB/f.u.


Entry b
Density functional theory data (PBE-GGA) for an optimized crystal structure of CaSbRu3.

Unit cell a=4.7029 b=4.7029 c=4.7029 alpha=90.00 beta=90.00 gamma=90.00
Each line ends with the local moment (μB).
Positions (direct):
Ru 0.0000 0.5000 0.0000  0.34
Ru 0.0000 0.0000 0.5000  0.25
Ru 0.5000 0.0000 0.0000  0.25
Sb 0.5000 0.5000 0.5000  -0.02
Ca 0.0000 0.0000 0.0000  -0.01

size of the total moment	0.83	μB/f.u.


Referenced to the most stable arrangement, the calculated values in meV/atom are entry a 0; entry b 1062.


Entry a
Density functional theory data (PBE-GGA) for an optimized crystal structure of CaSbTe2Ru.

Unit cell a=5.7006 b=5.7006 c=5.6908 alpha=90.00 beta=90.00 gamma=90.00
Each line ends with the local moment (μB).
Positions (direct):
Ru 0.5000 0.5000 0.5000  2.66
Te 0.0000 0.5000 0.0000  -0.05
Te 0.5000 0.0000 0.0000  -0.05
Sb 0.0000 0.0000 0.5000  -0.04
Ca 0.0000 0.0000 0.0000  0.00

size of the total moment	2.70	μB/f.u.


Entry b
Density functional theory data (PBE-GGA) for an optimized crystal structure of CaSbTe2Ru.

Unit cell a=5.5050 b=5.5050 c=4.9190 alpha=90.00 beta=90.00 gamma=90.00
Each line ends with the local moment (μB).
Positions (direct):
Te 0.5000 0.0000 0.0000  0.03
Te 0.0000 0.5000 0.0000  0.03
Ru 0.0000 0.0000 0.0000  0.30
Ca 0.5000 0.5000 0.5000  0.01
Sb 0.0000 0.0000 0.5000  0.00

size of the total moment	0.44	μB/f.u.


Referenced to the most stable arrangement, the calculated values in meV/atom are entry a 1226; entry b 0.


Entry a
Density functional theory data (PBE-GGA) for an optimized crystal structure of CaScRu.

Unit cell a=3.9899 b=11.0679 c=6.3000 alpha=90.00 beta=90.00 gamma=90.00
Positions (direct):
Ca 0.5000 0.7171 0.2500
Ca 0.0000 0.2171 0.2500
Ca 0.0000 0.7829 0.7500
Ca 0.5000 0.2829 0.7500
Sc 0.5000 0.0000 0.0000
Sc 0.0000 0.5000 0.5000
Sc 0.0000 0.5000 0.0000
Sc 0.5000 0.0000 0.5000
Ru 0.5000 0.4337 0.2500
Ru 0.5000 0.5663 0.7500
Ru 0.0000 0.0663 0.7500
Ru 0.0000 0.9337 0.2500

size of the total moment	0.00	μB/f.u.


Entry b
Density functional theory data (PBE-GGA) for an optimized crystal structure of CaScRu.

Unit cell a=6.4824 b=6.4829 c=3.3738 alpha=74.91 beta=74.93 gamma=30.17
Positions (direct):
Ru 0.3147 0.3147 0.6853
Sc 0.7123 0.7123 0.2877
Ca 0.9730 0.9730 0.0270

size of the total moment	0.00	μB/f.u.


Entry c
Density functional theory data (PBE-GGA) for an optimized crystal structure of CaScRu.

Unit cell a=3.2778 b=4.4510 c=10.3992 alpha=90.00 beta=98.99 gamma=90.00
Positions (direct):
Sc 0.9482 0.7500 0.3947
Sc 0.0518 0.2500 0.6053
Ru 0.4447 0.2500 0.3889
Ru 0.5553 0.7500 0.6111
Ca 0.1771 0.7500 0.8526
Ca 0.8229 0.2500 0.1474

size of the total moment	0.00	μB/f.u.


Referenced to the most stable arrangement, the calculated values in meV/atom are entry a 27; entry b 10; entry c 0.


Entry a
Density functional theory data (PBE-GGA) for an optimized crystal structure of CaScRu.

Unit cell a=3.3333 b=3.3333 c=12.3391 alpha=90.00 beta=90.00 gamma=90.00
Positions (direct):
Sc 0.0000 0.0000 0.1203
Sc 0.0000 0.0000 0.3675
Ca 0.0000 0.0000 0.6304
Ca 0.5000 0.5000 0.8927
Ru 0.5000 0.5000 0.4837
Ru 0.5000 0.5000 0.2280

size of the total moment	0.00	μB/f.u.


Entry b
Density functional theory data (PBE-GGA) for an optimized crystal structure of CaScRu.

Unit cell a=4.5879 b=4.5879 c=3.5090 alpha=90.00 beta=90.00 gamma=120.00
Positions (direct):
Sc 0.3333 0.6667 0.5671
Ca 0.0000 0.0000 0.0234
Ru 0.6667 0.3333 0.4095

size of the total moment	0.00	μB/f.u.


Referenced to the most stable arrangement, the calculated values in meV/atom are entry a 0; entry b 261.


Entry a
Density functional theory data (PBE-GGA) for an optimized crystal structure of Ca2ScRu.

Unit cell a=5.0626 b=5.0626 c=5.0626 alpha=119.93 beta=119.93 gamma=90.11
Positions (direct):
Ca 0.2500 0.7500 0.5000
Ca 0.0000 0.0000 0.0000
Sc 0.7500 0.2500 0.5000
Ru 0.5000 0.5000 0.0000

size of the total moment	0.00	μB/f.u.


Entry b
Density functional theory data (PBE-GGA) for an optimized crystal structure of Ca2ScRu.

Unit cell a=5.5386 b=5.5386 c=3.4659 alpha=90.00 beta=90.00 gamma=115.68
Positions (direct):
Ca 0.0000 0.0000 0.0000
Ca 0.5000 0.5000 0.0000
Ru 0.5000 0.0000 0.5000
Sc 0.0000 0.5000 0.5000

size of the total moment	0.00	μB/f.u.


Entry c
Density functional theory data (PBE-GGA) for an optimized crystal structure of Ca2ScRu.

Unit cell a=3.7152 b=3.7152 c=7.1809 alpha=90.00 beta=90.00 gamma=90.00
Each line ends with the local moment (μB).
Positions (direct):
Ca 0.0000 0.0000 0.0428  0.01
Ca 0.0000 0.0000 0.4572  0.01
Sc 0.5000 0.5000 0.7500  0.33
Ru 0.5000 0.5000 0.2500  0.02

size of the total moment	0.68	μB/f.u.


Referenced to the most stable arrangement, the calculated values in meV/atom are entry a 0; entry b 235; entry c 167.


Entry a
Density functional theory data (PBE-GGA) for an optimized crystal structure of Ca2ScRu.

Unit cell a=5.7689 b=5.8802 c=3.3181 alpha=80.98 beta=75.18 gamma=114.73
Positions (direct):
Sc 0.5000 0.5000 0.0000
Ca 0.5000 0.0000 0.5000
Ca 0.0000 0.0000 0.0000
Ru 0.0000 0.5000 0.5000

size of the total moment	0.00	μB/f.u.


Entry b
Density functional theory data (PBE-GGA) for an optimized crystal structure of Ca2ScRu.

Unit cell a=8.7000 b=8.7000 c=4.1874 alpha=76.09 beta=76.09 gamma=21.98
Positions (direct):
Sc 0.2500 0.2500 0.2500
Ca 0.0928 0.0928 0.9071
Ca 0.4072 0.4072 0.5929
Ru 0.7500 0.7500 0.7500

size of the total moment	0.00	μB/f.u.


Referenced to the most stable arrangement, the calculated values in meV/atom are entry a 436; entry b 0.